A geometry-optimized PuFeAgO6 structure, computed with PBE+U.

```
PuFeAgO6
1.0
5.352 0.000 0.000
-2.676 4.635 0.000
0.000 0.000 9.576
O Fe Ag Pu
12 2 2 2
direct
0.361 0.002 0.638
0.998 0.360 0.638
0.002 0.640 0.362
0.360 0.998 0.138
0.639 0.640 0.138
0.361 0.360 0.862
0.640 0.002 0.862
0.639 0.998 0.362
0.640 0.639 0.638
0.998 0.639 0.862
0.002 0.361 0.138
0.360 0.361 0.362
0.333 0.667 0.750
0.667 0.333 0.250
0.000 0.000 0.000
0.000 0.000 0.500
0.667 0.333 0.750
0.333 0.667 0.250
```

Output
E_tot = -7.309 eV/atom
theoretical density = 7.04 g cm⁻³
DOS at the Fermi energy = 0.627 states/eV per atom